This record from Alexandria via LeMat-Bulk describes Pu2U4Re3 after structural relaxation. The functional is PBE.

Output
Its formation enthalpy at 0 K is 0.04 eV/atom. The calculation puts the volume at 18.113 Å³/atom. As for the energy: -12.312 eV per atom. The calculation puts the total magnetization at 0.766 μB/atom.

Unit cell a=5.480 b=5.480 c=8.105 alpha=118.50 beta=118.50 gamma=52.26
Sites, in units of the cell vectors:
Pu 0.165 0.165 0.277
Pu 0.835 0.835 0.723
U 0.164 0.164 0.939
U 0.171 0.171 0.614
U 0.829 0.829 0.386
U 0.836 0.836 0.061
Re 0.499 0.499 0.335
Re 0.500 0.500 0.000
Re 0.501 0.501 0.665